CsAlSbTe2 PBE optimized geometry; formation energy from raw total energies = 1.1953 eV/atom; Fermi-level density of states = 1.240 states/eV/atom; offset from the most stable computed form = 1344 meV/atom; magnetization = 0.5 μB per formula unit
1.0
-4.644 4.403 -1.342
-4.170 -4.832 -1.421
-1.894 -0.149 6.063
Al Sb Te Cs
1 1 2 1
Direct
0.500 0.500 0.500
0.000 0.000 0.500
0.000 0.500 0.000
0.500 0.000 0.000
0.000 0.000 0.000